This record from the Alexandria database describes PmPr5Cd3 after structural relaxation. The functional is PBE.

Cell lengths 7.1282, 9.5508, 9.5504 Å; angles 120.00, 90.00, 90.00 degrees
Sites, in units of the cell vectors:
Pr (0.5000, 0.6667, 0.3333)
Pr (0.2500, 0.3347, 0.3346)
Cd (0.2500, 0.3302, 0.0000)
Cd (0.7500, 0.3301, 0.3301)
Pr (0.7500, 0.0000, 0.3346)
Pr (0.2500, 0.6653, 0.0000)
Pr (0.2500, 0.0000, 0.6654)
Cd (0.2500, 0.0000, 0.3301)
Pm (0.0000, 0.0000, 0.0000)
Cd (0.7500, 0.6698, 0.0000)
Pr (0.0000, 0.6667, 0.3333)
Pr (0.7500, 0.3347, 0.0000)
Pr (0.5000, 0.3333, 0.6667)
Pm (0.5000, 0.0000, 0.0000)
Cd (0.2500, 0.6699, 0.6699)
Pr (0.7500, 0.6653, 0.6654)
Cd (0.7500, 0.0000, 0.6699)
Pr (0.0000, 0.3333, 0.6667)

DFT total energy in eV/atom: -3.66
SG: P6_3/mcm (193)
ΔH_f (0 K) in eV per atom: -0.168
DOS(E_F) in states/eV/atom: 1.158